No. 1
Compound: SrBiN2F
Source: the Alexandria database
Functional: PBE
Structure: relaxed

For the raw total energy, the calculation gives -4.40 eV/atom. Its density of states at the Fermi level is 0.34 states/eV/atom. The value obtained for the raw formation energy is 0.419 eV/atom.

The space group is P4/mmm (No. 123) and the conventional cell measures 4.847, 4.847 and 4.410 Å, with angles of 90.00, 90.00 and 90.00 degrees. The distinct sites, in fractional coordinates, are Sr at (0.000, 0.000, 0.000), Bi at (0.500, 0.500, 0.500), N at (0.000, 0.500, 0.000) and F at (0.000, 0.000, 0.500).

No. 2
Compound: TaBiNF2
Source: the Alexandria database
Functional: PBE
Structure: relaxed

For the raw total energy, the calculation gives -5.17 eV/atom. Its density of states at the Fermi level is 1.02 states/eV/atom. The value obtained for the raw formation energy is 0.391 eV/atom.

The space group is P4/mmm (No. 123) and the conventional cell measures 4.363, 4.363 and 4.949 Å, with angles of 90.00, 90.00 and 90.00 degrees. The distinct sites, in fractional coordinates, are Ta at (0.000, 0.000, 0.000), Bi at (0.500, 0.500, 0.500), N at (0.500, 0.500, 0.000) and F at (0.000, 0.500, 0.500).

No. 3
Compound: TaBiN2F
Source: the Alexandria database
Functional: PBE
Structure: relaxed

For the raw total energy, the calculation gives -7.42 eV/atom. Its density of states at the Fermi level is 0.54 states/eV/atom. The value obtained for the raw formation energy is -0.565 eV/atom.

The space group is P4/mmm (No. 123) and the conventional cell measures 4.159, 4.159 and 4.099 Å, with angles of 90.00, 90.00 and 90.00 degrees. The distinct sites, in fractional coordinates, are Ta at (0.000, 0.000, 0.000), Bi at (0.500, 0.500, 0.500), N at (0.000, 0.500, 0.000) and F at (0.000, 0.000, 0.500).

No. 4
Compound: TaBiNF2
Source: the Alexandria database
Functional: PBE
Structure: relaxed

For the raw total energy, the calculation gives -6.55 eV/atom. Its density of states at the Fermi level is 0.83 states/eV/atom. The value obtained for the raw formation energy is -0.987 eV/atom.

The space group is P4/mmm (No. 123) and the conventional cell measures 4.295, 4.295 and 4.092 Å, with angles of 90.00, 90.00 and 90.00 degrees. The distinct sites, in fractional coordinates, are Ta at (0.000, 0.000, 0.000), Bi at (0.500, 0.500, 0.500), N at (0.000, 0.000, 0.500) and F at (0.000, 0.500, 0.000).

No. 5
Compound: TaBiN2F
Source: the Alexandria database
Functional: PBE
Structure: relaxed

For the raw total energy, the calculation gives -5.62 eV/atom. Its density of states at the Fermi level is 0.74 states/eV/atom. The value obtained for the raw formation energy is 1.233 eV/atom.

The space group is P4/mmm (No. 123) and the conventional cell measures 4.393, 4.393 and 4.189 Å, with angles of 90.00, 90.00 and 90.00 degrees. The distinct sites, in fractional coordinates, are Ta at (0.000, 0.000, 0.000), Bi at (0.500, 0.500, 0.500), N at (0.000, 0.500, 0.500) and F at (0.500, 0.500, 0.000).

No. 6
Compound: BiTeN2F
Source: the Alexandria database
Functional: PBE
Structure: relaxed

For the raw total energy, the calculation gives -3.56 eV/atom. Its density of states at the Fermi level is 0.53 states/eV/atom. The value obtained for the raw formation energy is 1.550 eV/atom.

The space group is P4/mmm (No. 123) and the conventional cell measures 4.708, 4.708 and 4.199 Å, with angles of 90.00, 90.00 and 90.00 degrees. The distinct sites, in fractional coordinates, are Bi at (0.000, 0.000, 0.000), Te at (0.500, 0.500, 0.000), N at (0.000, 0.500, 0.500) and F at (0.500, 0.500, 0.500).

Repeat the second record exactly.
Compound: TaBiNF2
Source: the Alexandria database
Functional: PBE
Structure: relaxed

For the raw total energy, the calculation gives -5.17 eV/atom. Its density of states at the Fermi level is 1.02 states/eV/atom. The value obtained for the raw formation energy is 0.391 eV/atom.

The space group is P4/mmm (No. 123) and the conventional cell measures 4.363, 4.363 and 4.949 Å, with angles of 90.00, 90.00 and 90.00 degrees. The distinct sites, in fractional coordinates, are Ta at (0.000, 0.000, 0.000), Bi at (0.500, 0.500, 0.500), N at (0.500, 0.500, 0.000) and F at (0.000, 0.500, 0.500).

> Number 5 is which compound?

TaBiN2F